Entry 1:
! Hf2Sc2Sb | Alexandria | PBE | optimized geometry; values from VASP
&SYSTEM
  ibrav = 0, nat = 10, ntyp = 3
/
ATOMIC_SPECIES
Hf 178.49 Hf.upf
Sc 44.96 Sc.upf
Sb 121.76 Sb.upf
CELL_PARAMETERS angstrom
-3.447 -6.346 -1.858
5.743 -1.834 -4.389
1.887 -1.992 3.302
ATOMIC_POSITIONS crystal
Hf 0.139 0.361 0.000
Hf 0.639 0.139 0.000
Sc 0.345 0.155 0.500
Sb 0.500 0.500 0.000
Sc 0.655 0.845 0.500
Sb 0.000 0.000 0.000
Sc 0.155 0.655 0.500
Sc 0.845 0.345 0.500
Hf 0.861 0.639 0.000
Hf 0.361 0.861 0.000
! E: -74.6 eV per cell
! Theoretical density: 7.9 Mg/m³
! Symmetry: No. 127

Entry 2:
! Co2NiP | Alexandria | PBE | optimized geometry; values from VASP
&SYSTEM
  ibrav = 0, nat = 4, ntyp = 3
/
ATOMIC_SPECIES
P 30.97 P.upf
Co 58.93 Co.upf
Ni 58.69 Ni.upf
CELL_PARAMETERS angstrom
4.701 -0.035 -0.001
3.937 2.569 -0.001
1.674 0.491 3.555
ATOMIC_POSITIONS crystal
P 0.250 0.250 0.250
Co 0.963 0.963 0.037
Co 0.537 0.537 0.463
Ni 0.750 0.750 0.750
! ΔE_f: -0.194 eV per atom
! Theoretical density: 7.9 Mg/m³
! Symmetry: No. 71

Entry 3:
! Er7Bi2Pd2 | Alexandria | PBE | optimized geometry; values from VASP
&SYSTEM
  ibrav = 0, nat = 11, ntyp = 3
/
ATOMIC_SPECIES
Er 167.26 Er.upf
Bi 208.98 Bi.upf
Pd 106.42 Pd.upf
CELL_PARAMETERS angstrom
6.916 -0.003 -0.505
0.003 7.011 0.003
-0.935 -0.003 6.871
ATOMIC_POSITIONS crystal
Er 0.500 0.754 0.000
Bi 0.803 0.500 0.803
Er 0.500 0.764 0.500
Er 0.500 0.236 0.500
Er 0.500 0.246 0.000
Pd 0.280 0.000 0.720
Pd 0.720 0.000 0.280
Er 0.000 0.246 0.500
Er 0.000 0.000 0.000
Er 0.000 0.754 0.500
Bi 0.197 0.500 0.197
! ΔE_f: -0.434 eV per atom
! Theoretical density: 9.1 Mg/m³
! Symmetry: No. 65

Copy entry 2 word for word.
! Co2NiP | Alexandria | PBE | optimized geometry; values from VASP
&SYSTEM
  ibrav = 0, nat = 4, ntyp = 3
/
ATOMIC_SPECIES
P 30.97 P.upf
Co 58.93 Co.upf
Ni 58.69 Ni.upf
CELL_PARAMETERS angstrom
4.701 -0.035 -0.001
3.937 2.569 -0.001
1.674 0.491 3.555
ATOMIC_POSITIONS crystal
P 0.250 0.250 0.250
Co 0.963 0.963 0.037
Co 0.537 0.537 0.463
Ni 0.750 0.750 0.750
! ΔE_f: -0.194 eV per atom
! Theoretical density: 7.9 Mg/m³
! Symmetry: No. 71

> Which of these has the highest theoretical density?

Er7Bi2Pd2